{"formula": "Bi3PSe3", "functional": "PBE", "state": "optimized geometry", "lattice_angstrom": [[8.545, 0.000, 0.000], [0.000, 4.176, 0.000], [-0.766, 0.000, 11.968]], "species": ["Bi", "Bi", "Bi", "Bi", "Bi", "Bi", "P", "P", "Se", "Se", "Se", "Se", "Se", "Se"], "frac_coords": [[0.122, 0.250, 0.364], [0.160, 0.250, 0.875], [0.363, 0.750, 0.646], [0.637, 0.250, 0.354], [0.840, 0.750, 0.125], [0.878, 0.750, 0.636], [0.141, 0.250, 0.637], [0.859, 0.750, 0.363], [0.092, 0.250, 0.135], [0.353, 0.750, 0.383], [0.398, 0.750, 0.878], [0.602, 0.250, 0.122], [0.647, 0.250, 0.617], [0.908, 0.750, 0.865]], "spacegroup": "P2_1/m (11)", "formation_energy_uncorrected_ev_per_atom": -0.21}

---

{"formula": "Ca5TmIn6", "functional": "PBE", "state": "optimized geometry", "lattice_angstrom": [[8.475, -3.878, 0.000], [8.475, 3.878, 0.000], [-1.660, 0.000, 5.124]], "species": ["Ca", "Ca", "Ca", "Ca", "Ca", "Tm", "In", "In", "In", "In", "In", "In"], "frac_coords": [[0.000, 0.000, 0.000], [0.165, 0.165, 0.665], [0.328, 0.328, 0.327], [0.672, 0.672, 0.673], [0.835, 0.835, 0.335], [0.500, 0.500, 0.000], [0.094, 0.580, 0.837], [0.262, 0.738, 0.500], [0.420, 0.906, 0.163], [0.580, 0.094, 0.837], [0.738, 0.262, 0.500], [0.906, 0.420, 0.163]], "dos_ef_per_ev_atom": 0.500, "ef_kj_per_mol_atoms": -45, "spacegroup": "C2/m (12)"}

---

{"formula": "Sm2DyEr2Sc2", "functional": "PBE", "state": "optimized geometry", "lattice_angstrom": [[5.664, -1.710, 0.000], [5.664, 1.710, 0.000], [-3.704, 0.000, 10.922]], "species": ["Sm", "Sm", "Dy", "Er", "Er", "Sc", "Sc"], "frac_coords": [[0.172, 0.172, 0.089], [0.828, 0.828, 0.911], [0.500, 0.500, 0.500], [0.046, 0.046, 0.767], [0.954, 0.954, 0.233], [0.272, 0.272, 0.631], [0.728, 0.728, 0.369]], "dos_ef_per_ev_atom": 1.765, "ef_kj_per_mol_atoms": 10, "spacegroup": "C2/m (12)"}

---

Respective spin magnetization values: 0.0; 0.0; 0.0 μB/cell.